Entry 1:
Material: LaCu2Ir
Method: DFT, SCAN
State: single point on PBEsol structure

Calculated values
For the formation energy from the elements, the calculation gives 12 meV per atom. The uncorrected energy is -144.6 eV/f.u. Its energy above the most stable polymorph in this dataset is 288 meV/atom.

Cell: 4.970 4.970 4.970 Å, 131.28 130.93 71.65°
Sites, in units of the cell vectors:
La1 0.000 0.000 0.000
Cu1 0.250 0.750 0.500
Cu2 0.494 0.494 0.000
Ir1 0.749 0.249 0.500



Entry 2:
Material: TlCd3
Method: DFT, SCAN
State: single point on PBEsol structure

Calculated values
For the formation energy from the elements, the calculation gives 80 meV per atom. The uncorrected energy is -163.3 eV/f.u.

Cell: 9.586 9.586 9.586 Å, 152.92 152.92 38.67°
Sites, in units of the cell vectors:
Tl1 0.124 0.124 0.000
Tl2 0.876 0.876 0.000
Cd1 0.000 0.500 0.500
Cd2 0.250 0.750 0.500
Cd3 0.375 0.375 0.000
Cd4 0.500 0.000 0.500
Cd5 0.625 0.625 0.000
Cd6 0.750 0.250 0.500



Entry 3:
Material: Al2SbOs
Method: DFT, SCAN
State: single point on PBEsol structure

Calculated values
The formation energy (no corrections) is 0.275 eV per atom. The uncorrected energy is -123.5 eV/f.u.

Cell: 3.232 4.431 5.051 Å, 90.00 104.39 90.00°
Sites, in units of the cell vectors:
Al1 0.131 0.000 0.273
Al2 0.869 0.000 0.727
Sb1 0.500 0.500 0.000
Os1 0.000 0.500 0.500



Entry 4:
Material: MnSiAg
Method: DFT, SCAN
State: single point on PBEsol structure

Calculated values
The formation energy (no corrections) is 0.032 eV per atom. The uncorrected energy is -59.5 eV/f.u. Its energy above the most stable polymorph in this dataset is 0 meV/atom.

Cell: 4.234 4.234 2.745 Å, 90.00 90.00 120.00°
Sites, in units of the cell vectors:
Mn1 0.000 0.000 0.000
Si1 0.333 0.667 0.500
Ag1 0.667 0.333 0.500



Entry 5:
Material: Cr2TcRu
Method: DFT, SCAN
State: single point on PBEsol structure

Calculated values
For the formation energy from the elements, the calculation gives 118 meV per atom. The uncorrected energy is -106.2 eV/f.u.

Cell: 2.622 3.954 4.995 Å, 90.00 104.52 90.00°
Sites, in units of the cell vectors:
Cr1 0.000 0.000 0.000
Cr2 0.103 0.500 0.771
Tc1 0.387 0.000 0.525
Ru1 0.723 0.500 0.240



Entry 6:
Material: Al5Sb
Method: DFT, SCAN
State: single point on PBEsol structure

Calculated values
The formation energy (no corrections) is 0.150 eV per atom. The uncorrected energy is -75.1 eV/f.u. Its energy above the most stable polymorph in this dataset is 13 meV/atom.

Cell: 2.885 4.683 8.504 Å, 90.00 93.57 90.00°
Sites, in units of the cell vectors:
Al1 0.000 0.000 0.000
Al2 0.024 0.500 0.200
Al3 0.451 0.000 0.723
Al4 0.479 0.500 0.913
Al5 0.517 0.000 0.295
Sb1 0.438 0.500 0.541



Entry 7:
Material: ReTeRh2
Method: DFT, SCAN
State: single point on PBEsol structure

Calculated values
The formation energy (no corrections) is 0.268 eV per atom. The uncorrected energy is -174.8 eV/f.u.

Cell: 4.658 4.658 4.967 Å, 100.52 100.52 36.38°
Sites, in units of the cell vectors:
Re1 0.000 0.000 0.000
Te1 0.750 0.750 0.310
Rh1 0.256 0.256 0.804
Rh2 0.501 0.501 0.550



Entry 8:
Material: MnCdIr2
Method: DFT, SCAN
State: single point on PBEsol structure

Calculated values
For the formation energy from the elements, the calculation gives 42 meV per atom. The uncorrected energy is -190.7 eV/f.u.

Cell: 5.305 5.305 2.741 Å, 104.12 104.12 117.79°
Sites, in units of the cell vectors:
Mn1 0.000 0.000 0.000
Cd1 0.500 0.500 0.000
Ir1 0.000 0.500 0.500
Ir2 0.500 0.000 0.500



Entry 9:
Material: Zn2BI
Method: DFT, SCAN
State: single point on PBEsol structure

Calculated values
The formation energy (no corrections) is 0.512 eV per atom. The uncorrected energy is -69.2 eV/f.u.

Cell: 6.444 6.444 6.444 Å, 126.39 126.39 79.24°
Sites, in units of the cell vectors:
Zn1 0.015 0.625 0.890
Zn2 0.375 0.265 0.390
Zn3 0.735 0.125 0.110
Zn4 0.875 0.985 0.610
B1 0.000 0.000 0.000
B2 0.750 0.250 0.500
I1 0.250 0.750 0.500
I2 0.500 0.500 0.000



Entry 10:
Material: Li2Mn3FeO8
Method: DFT, SCAN
State: single point on PBEsol structure

Calculated values
The formation energy (no corrections) is -2.171 eV per atom. The uncorrected energy is -157.9 eV/f.u. Its energy above the most stable polymorph in this dataset is 0 meV/atom.

Cell: 8.025 8.025 8.025 Å, 90.00 90.00 90.00°
Sites, in units of the cell vectors:
Li1 0.001 0.499 0.501
Li2 0.249 0.749 0.751
Li3 0.251 0.251 0.251
Li4 0.499 0.501 0.001
Li5 0.501 0.001 0.499
Li6 0.749 0.751 0.249
Li7 0.751 0.249 0.749
Li8 0.999 0.999 0.999
Mn1 0.122 0.625 0.128
Mn2 0.125 0.372 0.878
Mn3 0.128 0.122 0.625
Mn4 0.372 0.878 0.125
Mn5 0.375 0.628 0.378
Mn6 0.378 0.375 0.628
Mn7 0.622 0.875 0.872
Mn8 0.625 0.128 0.122
Mn9 0.628 0.378 0.375
Mn10 0.872 0.622 0.875
Mn11 0.875 0.872 0.622
Mn12 0.878 0.125 0.372
Fe1 0.125 0.875 0.375
Fe2 0.375 0.125 0.875
Fe3 0.625 0.625 0.625
Fe4 0.875 0.375 0.125
O1 0.111 0.611 0.889
O2 0.112 0.887 0.613
O3 0.113 0.113 0.388
O4 0.113 0.388 0.113
O5 0.137 0.137 0.862
O6 0.137 0.862 0.137
O7 0.138 0.637 0.363
O8 0.139 0.361 0.639
O9 0.361 0.639 0.139
O10 0.362 0.363 0.863
O11 0.363 0.138 0.637
O12 0.363 0.863 0.362
O13 0.387 0.612 0.613
O14 0.387 0.887 0.888
O15 0.388 0.113 0.113
O16 0.389 0.389 0.389
O17 0.611 0.889 0.111
O18 0.612 0.613 0.387
O19 0.613 0.112 0.887
O20 0.613 0.387 0.612
O21 0.637 0.363 0.138
O22 0.637 0.638 0.863
O23 0.638 0.863 0.637
O24 0.639 0.139 0.361
O25 0.861 0.861 0.861
O26 0.862 0.137 0.137
O27 0.863 0.362 0.363
O28 0.863 0.637 0.638
O29 0.887 0.613 0.112
O30 0.887 0.888 0.387
O31 0.888 0.387 0.887
O32 0.889 0.111 0.611



Entry 11:
Material: Ag2HgSbN
Method: DFT, SCAN
State: single point on PBEsol structure

Calculated values
The formation energy (no corrections) is 1.168 eV per atom. The uncorrected energy is -171.6 eV/f.u.

Cell: 5.182 5.182 5.708 Å, 90.00 90.00 90.00°
Sites, in units of the cell vectors:
Ag1 0.000 0.500 0.000
Ag2 0.500 0.000 0.000
Hg1 0.000 0.000 0.500
Sb1 0.000 0.000 0.000
N1 0.500 0.500 0.500



Entry 12:
Material: Cd3Cu
Method: DFT, SCAN
State: single point on PBEsol structure

Calculated values
For the formation energy from the elements, the calculation gives 66 meV per atom. The uncorrected energy is -106.2 eV/f.u.

Cell: 3.111 3.111 7.413 Å, 90.00 90.00 90.00°
Sites, in units of the cell vectors:
Cd1 0.000 0.000 0.000
Cd2 0.500 0.500 0.284
Cd3 0.500 0.500 0.716
Cu1 0.000 0.000 0.500



What is the uncorrected energy in the eighth record? -190.7 eV/f.u.



Please write out number 2 again, unchanged.
Material: TlCd3
Method: DFT, SCAN
State: single point on PBEsol structure

Calculated values
For the formation energy from the elements, the calculation gives 80 meV per atom. The uncorrected energy is -163.3 eV/f.u.

Cell: 9.586 9.586 9.586 Å, 152.92 152.92 38.67°
Sites, in units of the cell vectors:
Tl1 0.124 0.124 0.000
Tl2 0.876 0.876 0.000
Cd1 0.000 0.500 0.500
Cd2 0.250 0.750 0.500
Cd3 0.375 0.375 0.000
Cd4 0.500 0.000 0.500
Cd5 0.625 0.625 0.000
Cd6 0.750 0.250 0.500



The highest uncorrected energy belongs to which entry? MnSiAg



Which of these has the lowest uncorrected energy? MnCdIr2